A plane-wave DFT calculation with PBE was carried out for a geometry-optimized Sr2TaGaAu structure.

Values from the calculation:
Space group: P4/mmm (123)
Formation enthalpy at 0 K (eV/atom): 0.790

POSCAR file:
```
Sr2TaGaAu
1.0
6.0200 0.0000 0.0000
0.0000 5.0053 0.0000
0.0000 0.0000 6.0200
Sr Au Ga Ta
2 1 1 1
Direct
0.0000 0.0000 0.5000
0.5000 0.0000 0.0000
0.0000 0.5000 0.0000
0.5000 0.5000 0.5000
0.0000 0.0000 0.0000
```

A plane-wave DFT calculation with PBE was carried out for a geometry-optimized Sr2TbGa3Au12 structure.

Values from the calculation:
Space group: R-3m (166)
Formation enthalpy at 0 K (eV/atom): -0.301

POSCAR file:
```
Sr2TbGa3Au12
1.0
-7.8724 -7.7706 -1.3310
-1.8782 -10.9795 -0.2287
-5.3908 -8.3284 5.0700
Sr Tb Ga Au
2 1 3 12
Direct
0.6372 0.6372 0.6372
0.3628 0.3628 0.3628
0.0000 0.0000 0.0000
0.5000 0.0000 0.0000
0.0000 0.5000 0.0000
0.0000 0.0000 0.5000
0.4076 0.4076 0.8166
0.8702 0.8702 0.4365
0.4365 0.8702 0.8702
0.8166 0.4076 0.4076
0.8702 0.4365 0.8702
0.4076 0.8166 0.4076
0.5924 0.5924 0.1834
0.1298 0.1298 0.5635
0.5635 0.1298 0.1298
0.1834 0.5924 0.5924
0.1298 0.5635 0.1298
0.5924 0.1834 0.5924
```

A plane-wave DFT calculation with PBE was carried out for a geometry-optimized SrTbGaAu structure.

Values from the calculation:
Space group: F-43m (216)
Formation enthalpy at 0 K (eV/atom): -0.549

POSCAR file:
```
SrTbGaAu
1.0
-4.1982 -2.2825 2.2212
0.6362 -3.3156 4.0461
-1.5220 1.4259 4.8393
Tb Au Ga Sr
1 1 1 1
Direct
0.2500 0.2500 0.2500
0.0000 0.0000 0.0000
0.5000 0.5000 0.5000
0.7500 0.7500 0.7500
```

A plane-wave DFT calculation with PBE was carried out for a geometry-optimized Sr2TbGa3Au4 structure.

Values from the calculation:
Space group: P-4m2 (115)
Formation enthalpy at 0 K (eV/atom): -0.632

POSCAR file:
```
Sr2TbGa3Au4
1.0
-1.3632 1.8969 3.9127
-1.8638 -3.9595 1.2703
9.8675 -3.0651 4.9239
Sr Tb Ga Au
2 1 3 4
Direct
0.5000 0.0000 0.2254
0.0000 0.5000 0.7746
0.5000 0.5000 0.5000
0.0000 0.0000 0.5000
0.5000 0.0000 0.8828
0.0000 0.5000 0.1172
0.5000 0.5000 0.0000
0.0000 0.0000 0.0000
0.5000 0.0000 0.6575
0.0000 0.5000 0.3425
```

A plane-wave DFT calculation with PBE was carried out for a geometry-optimized SrTbGa2Au5 structure.

Values from the calculation:
Space group: P4/mmm (123)
Formation enthalpy at 0 K (eV/atom): -0.503

POSCAR file:
```
SrTbGa2Au5
1.0
-0.0441 0.8312 -4.7298
4.6341 -1.2335 -0.2600
-2.2301 -8.0831 -1.3997
Sr Tb Ga Au
1 1 2 5
Direct
0.0000 0.0000 0.5000
0.0000 0.0000 0.0000
0.5000 0.5000 0.1479
0.5000 0.5000 0.8521
0.0000 0.5000 0.2486
0.5000 0.0000 0.2486
0.0000 0.5000 0.7514
0.5000 0.0000 0.7514
0.5000 0.5000 0.5000
```

A plane-wave DFT calculation with PBE was carried out for a geometry-optimized SrGaTcAu2 structure.

Values from the calculation:
Space group: P4/mmm (123)
Formation enthalpy at 0 K (eV/atom): 1.462

POSCAR file:
```
SrGaTcAu2
1.0
5.5598 0.0000 0.0000
0.0000 5.7959 0.0000
0.0000 0.0000 5.5598
Sr Au Tc Ga
1 2 1 1
Direct
0.0000 0.0000 0.0000
0.0000 0.0000 0.5000
0.5000 0.0000 0.0000
0.5000 0.5000 0.5000
0.0000 0.5000 0.0000
```